(1)
LiOsSCl2: relaxed, PBE.

Summary:
E_form (uncorrected) (eV/atom): 0.74
E above lowest polymorph (meV per atom): 970
Symmetry: No. 123
Total moment (μB per cell): 4.415
Crystal system: tetragonal

Unit cell a=4.271 b=4.271 c=5.201 alpha=90.00 beta=90.00 gamma=90.00
Element x y z (fractional)
Li 0.000 0.000 0.000
Os 0.500 0.500 0.500
S 0.000 0.000 0.500
Cl 0.000 0.500 0.000
Cl 0.500 0.000 0.000

(2)
OsSeBr3: relaxed, PBE.

Summary:
E_form (uncorrected) (eV/atom): 0.01
E above lowest polymorph (meV per atom): 0
Symmetry: No. 13
Total moment (μB per cell): 0.000
Crystal system: monoclinic

Unit cell a=7.137 b=9.152 c=10.691 alpha=90.00 beta=109.60 gamma=90.00
Element x y z (fractional)
Os 0.002 0.241 0.377
Os 0.002 0.759 0.877
Os 0.998 0.241 0.123
Os 0.998 0.759 0.623
Se 0.172 0.052 0.291
Se 0.172 0.948 0.791
Se 0.828 0.052 0.209
Se 0.828 0.948 0.709
Br 0.240 0.398 0.302
Br 0.240 0.602 0.802
Br 0.248 0.216 0.008
Br 0.248 0.784 0.508
Br 0.251 0.227 0.604
Br 0.251 0.773 0.104
Br 0.749 0.227 0.896
Br 0.749 0.773 0.396
Br 0.752 0.216 0.492
Br 0.752 0.784 0.992
Br 0.760 0.398 0.198
Br 0.760 0.602 0.698

(3)
Nd3YGe2C: relaxed, PBE.

Summary:
Energy relative to the elements (kJ per mole of atoms): -54.0
Symmetry: No. 71
Total moment (μB per cell): 0.000
Crystal system: orthorhombic

Unit cell a=8.607 b=8.607 c=8.607 alpha=147.91 beta=147.02 gamma=46.68
Element x y z (fractional)
Nd 0.000 0.000 0.000
Nd 0.331 0.831 0.500
Nd 0.669 0.169 0.500
Y 0.500 0.500 0.000
Ge 0.135 0.635 0.500
Ge 0.865 0.365 0.500
C 0.500 0.000 0.500

no.,E (eV per atom)
1,-3.45
2,-3.93
3,-6.16